Density functional theory data (PBEsol) for crystalline Sr7H12Cl2 at its relaxed geometry.

Values from the calculation:
E = -3.55 eV/atom

abc: 9.7872 9.7872 3.8779
angles: 90.00 90.00 120.00
Space group P-6 (No. 174)
Unique sites:
Sr1 0.0000 0.0000 0.0000 (multiplicity 1)
Sr2 0.1083 0.4124 0.0000 (multiplicity 3)
Sr3 0.4001 0.2823 0.5000 (multiplicity 3)
H1 0.0589 0.6349 0.0000 (multiplicity 3)
H2 0.1063 0.8903 0.5000 (multiplicity 3)
H3 0.2774 0.1200 0.0000 (multiplicity 3)
H4 0.4399 0.0495 0.5000 (multiplicity 3)
Cl1 0.3333 0.6667 0.5000 (multiplicity 1)
Cl2 0.6667 0.3333 0.0000 (multiplicity 1)